Compound: Sc3HgS2
Source: the Alexandria database
Functional: PBE
Structure: relaxed

abc: 4.5345 6.2779 9.1697
angles: 90.00 90.00 111.17
Fractional positions:
1 Sc 0.8952 0.7903 0.2500
2 S 0.0000 0.0000 0.0000
3 Hg 0.2268 0.4535 0.2500
4 Sc 0.3651 0.7302 0.5500
5 Sc 0.6349 0.2698 0.0500
6 S 0.5190 0.0379 0.7500
7 Sc 0.6349 0.2698 0.4500
8 S 0.0000 0.0000 0.5000
9 S 0.4810 0.9621 0.2500
10 Sc 0.1048 0.2097 0.7500
11 Hg 0.7732 0.5465 0.7500
12 Sc 0.3651 0.7302 0.9500

Properties
E_form (uncorrected): -1.099 eV per atom
Calculated total energy: -5.691 eV/atom